No. 1
Here is crystalline Cs2PaAsO6 at its relaxed geometry from the Alexandria database. Energies are from PBE.

Properties
E_tot (eV per atom): -6.64

The structure in CIF format:
```
data_Cs2PaAsO6
_chemical_formula_sum 'Cs2 Pa1 As1 O6'
_space_group_name_H-M_alt 'P -3 m 1'
_space_group_IT_number 164
_space_group_name_Hall '-P 3 2"'
_cell_length_a 6.7765
_cell_length_b 6.7765
_cell_length_c 5.5961
_cell_angle_alpha 90.00
_cell_angle_beta 90.00
_cell_angle_gamma 120.00
loop_
_atom_site_label
_atom_site_fract_x
_atom_site_fract_y
_atom_site_fract_z
_atom_site_occupancy
Cs1 0.3333 0.6667 0.3665 1
Pa1 0.0000 0.0000 0.0000 1
As1 0.0000 0.0000 0.5000 1
O1 0.1279 0.2558 0.7095 1
```



No. 2
Here is crystalline CsPaAs2O8 at its relaxed geometry from the Alexandria database. Energies are from PBE.

Properties
E_tot (eV per atom): -7.01

The structure in CIF format:
```
data_CsPaAs2O8
_chemical_formula_sum 'Cs1 Pa1 As2 O8'
_space_group_name_H-M_alt 'P -3 m 1'
_space_group_IT_number 164
_space_group_name_Hall '-P 3 2"'
_cell_length_a 5.7710
_cell_length_b 5.7710
_cell_length_c 9.1059
_cell_angle_alpha 90.00
_cell_angle_beta 90.00
_cell_angle_gamma 120.00
loop_
_atom_site_label
_atom_site_fract_x
_atom_site_fract_y
_atom_site_fract_z
_atom_site_occupancy
Cs1 0.0000 0.0000 0.0000 1
Pa1 0.0000 0.0000 0.5000 1
As1 0.3333 0.6667 0.2819 1
O1 0.1739 0.3477 0.3590 1
O2 0.3333 0.6667 0.0997 1
```



No. 3
Here is crystalline CsPa2AsO8 at its relaxed geometry from the Alexandria database. Energies are from PBE.

Properties
E_tot (eV per atom): -7.81

The structure in CIF format:
```
data_CsPa2AsO8
_chemical_formula_sum 'Cs2 Pa4 As2 O16'
_space_group_name_H-M_alt 'C 1 2/m 1'
_space_group_IT_number 12
_space_group_name_Hall '-C 2y'
_cell_length_a 9.220
_cell_length_b 6.437
_cell_length_c 7.555
_cell_angle_alpha 90.00
_cell_angle_beta 103.33
_cell_angle_gamma 90.00
loop_
_atom_site_label
_atom_site_fract_x
_atom_site_fract_y
_atom_site_fract_z
_atom_site_occupancy
Cs1 0.000 0.000 0.000 1
Pa1 0.086 0.500 0.238 1
As1 0.000 0.000 0.500 1
O1 0.056 0.211 0.357 1
O2 0.124 0.500 0.957 1
O3 0.187 0.000 0.654 1
```



What is the formula in the third record?
CsPa2AsO8